Lu2PdRu | SCAN | single point on PBEsol structure

Output
- DOS(E_F) (states/eV per atom) = 0.278
- DFT formation energy (eV/atom) = -0.8918

a b c (Å): 6.636 6.636 6.636
angles (deg): 90.00 90.00 90.00
Space group Fm-3m (No. 225)
One atom of each set of equivalent atoms:
1 Lu 0.250 0.250 0.250
2 Pd 0.000 0.000 0.000
3 Ru 0.000 0.000 0.500


PbSeO4 | SCAN | single point on PBEsol structure

Output
- formation energy from raw total energies (eV/atom) = -1.03
- DOS(E_F) (states/eV per atom) = 0.000

a b c (Å): 6.943 7.416 8.734
angles (deg): 90.00 127.06 90.00
Space group P2_1/c (No. 14)
One atom of each set of equivalent atoms:
1 Pb 0.189 0.148 0.284
2 Se 0.312 0.664 0.194
3 O 0.129 0.656 0.616
4 O 0.184 0.503 0.238
5 O 0.345 0.609 0.025
6 O 0.405 0.209 0.118


Sc2TlAuI | SCAN | single point on PBEsol structure

Output
- formation energy from raw total energies (eV/atom) = -0.12
- DOS(E_F) (states/eV per atom) = 0.752

a b c (Å): 5.288 5.288 5.175
angles (deg): 90.00 90.00 90.00
Space group P4/mmm (No. 123)
One atom of each set of equivalent atoms:
1 Sc 0.000 0.500 0.000
2 Tl 0.000 0.000 0.500
3 Au 0.000 0.000 0.000
4 I 0.500 0.500 0.500